[1]
First-principles (GGA-PBEsol) data for a relaxed structure of Cu2Cl, as listed in Alexandria.

abc: 5.363 5.363 5.363
angles: 148.44 148.44 45.23
Atoms (fractional coordinates):
Cu: 0.176 0.176 0.000
Cu: 0.824 0.824 0.000
Cl: 0.500 0.500 0.000

Magnetization = 0.000 μB per atom
Volume = 14.04 Å³/atom
E_form (uncorrected) = 221 meV/atom

***

[2]
First-principles (GGA-PBEsol) data for a relaxed structure of CuCl, as listed in Alexandria.

abc: 6.411 6.411 6.411
angles: 90.00 90.00 90.00
Atoms (fractional coordinates):
Cu: 0.121 0.121 0.121
Cu: 0.121 0.379 0.621
Cu: 0.379 0.621 0.121
Cu: 0.379 0.879 0.621
Cu: 0.621 0.121 0.379
Cu: 0.621 0.379 0.879
Cu: 0.879 0.621 0.379
Cu: 0.879 0.879 0.879
Cl: 0.157 0.657 0.843
Cl: 0.157 0.843 0.343
Cl: 0.343 0.157 0.843
Cl: 0.343 0.343 0.343
Cl: 0.657 0.657 0.657
Cl: 0.657 0.843 0.157
Cl: 0.843 0.157 0.657
Cl: 0.843 0.343 0.157

Magnetization = 0.000 μB per atom
Volume = 16.47 Å³/atom
E_form (uncorrected) = -342 meV/atom